1.
DFT (PBE-GGA) results for an optimized crystal structure of Zn2Re.

CIF file:
```
data_Zn2Re
_chemical_formula_sum 'Zn8 Re4'
_cell_length_a 2.761
_cell_length_b 14.332
_cell_length_c 4.427
_cell_angle_alpha 90.00
_cell_angle_beta 90.00
_cell_angle_gamma 90.00
_symmetry_space_group_name_H-M 'C m c m'
_symmetry_Int_Tables_number 63
_symmetry_space_group_name_Hall '-C 2c 2'
loop_
_atom_site_label
_atom_site_type_symbol
_atom_site_fract_x
_atom_site_fract_y
_atom_site_fract_z
_atom_site_occupancy
Zn1 Zn 0.000 0.117 0.250 1
Zn2 Zn 0.000 0.215 0.750 1
Re1 Re 0.000 0.453 0.250 1
```

## Properties
Spin magnetization (μB per formula unit): 0.0
DOS(E_F) (states/eV/f.u.): 1.8
Energy of formation from the pure elements (kJ/mol of formula units): 55

2.
DFT (PBE-GGA) results for an optimized crystal structure of Zn2Re.

CIF file:
```
data_Zn2Re
_chemical_formula_sum 'Zn8 Re4'
_cell_length_a 6.652
_cell_length_b 6.652
_cell_length_c 5.035
_cell_angle_alpha 90.00
_cell_angle_beta 90.00
_cell_angle_gamma 90.00
_symmetry_space_group_name_H-M 'I 4/m c m'
_symmetry_Int_Tables_number 140
_symmetry_space_group_name_Hall '-I 4 2c'
loop_
_atom_site_label
_atom_site_type_symbol
_atom_site_fract_x
_atom_site_fract_y
_atom_site_fract_z
_atom_site_occupancy
Zn1 Zn 0.249 0.251 0.000 1
Re1 Re 0.000 0.000 0.250 1
```

## Properties
Spin magnetization (μB per formula unit): 0.1
DOS(E_F) (states/eV/f.u.): 2.0
Energy of formation from the pure elements (kJ/mol of formula units): 91

3.
DFT (PBE-GGA) results for an optimized crystal structure of Zn3Re.

CIF file:
```
data_Zn3Re
_chemical_formula_sum 'Zn12 Re4'
_cell_length_a 4.628
_cell_length_b 8.959
_cell_length_c 5.615
_cell_angle_alpha 90.00
_cell_angle_beta 90.00
_cell_angle_gamma 90.00
_symmetry_space_group_name_H-M 'P n m a'
_symmetry_Int_Tables_number 62
_symmetry_space_group_name_Hall '-P 2ac 2n'
loop_
_atom_site_label
_atom_site_type_symbol
_atom_site_fract_x
_atom_site_fract_y
_atom_site_fract_z
_atom_site_occupancy
Zn1 Zn 0.116 0.250 0.142 1
Zn2 Zn 0.237 0.001 0.386 1
Re1 Re 0.133 0.250 0.648 1
```

## Properties
Spin magnetization (μB per formula unit): 0.0
DOS(E_F) (states/eV/f.u.): 1.3
Energy of formation from the pure elements (kJ/mol of formula units): 37

What is the formula in the first record?
Zn2Re

Number 1 is which compound?
Zn2Re

Which of these has the lowest energy of formation from the pure elements?
Zn3Re

What is the formula in the first record?
Zn2Re